# 1
## Ce2GaBi (PBE)

Data for crystalline Ce2GaBi at its relaxed geometry.

```
data_Ce2GaBi
_chemical_formula_sum 'Ce2 Ga1 Bi1'
_cell_length_a 4.093
_cell_length_b 4.093
_cell_length_c 6.381
_cell_angle_alpha 90.00
_cell_angle_beta 90.00
_cell_angle_gamma 90.00
_space_group_name_H-M_alt 'P 4/m m m'
_space_group_IT_number 123
_space_group_name_Hall '-P 4 2'
loop_
_atom_site_label
_atom_site_fract_x
_atom_site_fract_y
_atom_site_fract_z
Ce1 0.000 0.000 0.218
Ga1 0.500 0.500 0.000
Bi1 0.500 0.500 0.500
```

## Properties
- energy of formation from the pure elements (eV per formula unit) = -2.228
- total magnetic moment (Bohr magnetons per cell) = 2.15
- ΔE to the lowest computed polymorph (meV per atom) = 0.0
- crystal system = tetragonal

=====

# 2
## CeGaBi (PBE)

Data for crystalline CeGaBi at its relaxed geometry.

```
data_CeGaBi
_chemical_formula_sum 'Ce1 Ga1 Bi1'
_cell_length_a 4.7825
_cell_length_b 4.7825
_cell_length_c 4.2476
_cell_angle_alpha 90.00
_cell_angle_beta 90.00
_cell_angle_gamma 120.00
_space_group_name_H-M_alt 'P 3 m 1'
_space_group_IT_number 156
_space_group_name_Hall 'P 3 -2"'
loop_
_atom_site_label
_atom_site_fract_x
_atom_site_fract_y
_atom_site_fract_z
Ce1 0.0000 0.0000 0.0000
Ga1 0.3333 0.6667 0.3276
Bi1 0.6667 0.3333 0.5461
```

## Properties
- energy of formation from the pure elements (eV per formula unit) = -1.146
- total magnetic moment (Bohr magnetons per cell) = 1.30
- ΔE to the lowest computed polymorph (meV per atom) = 0.0
- crystal system = trigonal

=====

# 3
## CeGaBi (PBE)

Data for crystalline CeGaBi at its relaxed geometry.

```
data_CeGaBi
_chemical_formula_sum 'Ce2 Ga2 Bi2'
_cell_length_a 3.839
_cell_length_b 3.839
_cell_length_c 10.881
_cell_angle_alpha 90.00
_cell_angle_beta 90.00
_cell_angle_gamma 90.00
_space_group_name_H-M_alt 'I 4 m m'
_space_group_IT_number 107
_space_group_name_Hall 'I 4 -2'
loop_
_atom_site_label
_atom_site_fract_x
_atom_site_fract_y
_atom_site_fract_z
Ce1 0.000 0.000 0.000
Ga1 0.000 0.000 0.677
Bi1 0.000 0.000 0.306
```

## Properties
- energy of formation from the pure elements (eV per formula unit) = -0.915
- total magnetic moment (Bohr magnetons per cell) = 3.10
- ΔE to the lowest computed polymorph (meV per atom) = 77.0
- crystal system = tetragonal

=====

# 4
## Ce6Ga2Bi (PBE)

Data for crystalline Ce6Ga2Bi at its relaxed geometry.

```
data_Ce6Ga2Bi
_chemical_formula_sum 'Ce6 Ga2 Bi1'
_cell_length_a 8.9771
_cell_length_b 8.9771
_cell_length_c 3.1193
_cell_angle_alpha 90.00
_cell_angle_beta 90.00
_cell_angle_gamma 120.00
_space_group_name_H-M_alt 'P 6/m m m'
_space_group_IT_number 191
_space_group_name_Hall '-P 6 2'
loop_
_atom_site_label
_atom_site_fract_x
_atom_site_fract_y
_atom_site_fract_z
Ce1 0.0000 0.3489 0.0000
Ga1 0.3333 0.6667 0.5000
Bi1 0.0000 0.0000 0.5000
```

## Properties
- energy of formation from the pure elements (eV per formula unit) = -2.207
- total magnetic moment (Bohr magnetons per cell) = 2.73
- crystal system = hexagonal

=====

# 5
## Ce10GaBi6 (PBE)

Data for crystalline Ce10GaBi6 at its relaxed geometry.

```
data_Ce10GaBi6
_chemical_formula_sum 'Ce10 Ga1 Bi6'
_cell_length_a 9.6078
_cell_length_b 9.6078
_cell_length_c 6.4963
_cell_angle_alpha 90.00
_cell_angle_beta 90.00
_cell_angle_gamma 120.00
_space_group_name_H-M_alt 'P -3 1 m'
_space_group_IT_number 162
_space_group_name_Hall '-P 3 2'
loop_
_atom_site_label
_atom_site_fract_x
_atom_site_fract_y
_atom_site_fract_z
Ce1 0.0000 0.2609 0.2483
Ce2 0.3333 0.6667 0.0000
Ce3 0.3333 0.6667 0.5000
Ga1 0.0000 0.0000 0.0000
Bi1 0.0000 0.3826 0.7506
```

## Properties
- energy of formation from the pure elements (eV per formula unit) = -10.580
- total magnetic moment (Bohr magnetons per cell) = 12.83
- crystal system = trigonal

=====

# 6
## CeGa2Bi (PBE)

Data for crystalline CeGa2Bi at its relaxed geometry.

```
data_CeGa2Bi
_chemical_formula_sum 'Ce1 Ga2 Bi1'
_cell_length_a 4.614
_cell_length_b 4.614
_cell_length_c 4.479
_cell_angle_alpha 90.00
_cell_angle_beta 90.00
_cell_angle_gamma 90.00
_space_group_name_H-M_alt 'P 4/m m m'
_space_group_IT_number 123
_space_group_name_Hall '-P 4 2'
loop_
_atom_site_label
_atom_site_fract_x
_atom_site_fract_y
_atom_site_fract_z
Ce1 0.000 0.000 0.000
Ga1 0.000 0.500 0.500
Bi1 0.500 0.500 0.000
```

## Properties
- energy of formation from the pure elements (eV per formula unit) = -1.892
- total magnetic moment (Bohr magnetons per cell) = 0.70
- ΔE to the lowest computed polymorph (meV per atom) = 0.0
- crystal system = tetragonal

=====

# 7
## Ce7GaBi3 (PBE)

Data for crystalline Ce7GaBi3 at its relaxed geometry.

```
data_Ce7GaBi3
_chemical_formula_sum 'Ce14 Ga2 Bi6'
_cell_length_a 6.075
_cell_length_b 9.177
_cell_length_c 12.182
_cell_angle_alpha 90.00
_cell_angle_beta 90.00
_cell_angle_gamma 90.00
_space_group_name_H-M_alt 'I m m m'
_space_group_IT_number 71
_space_group_name_Hall '-I 2 2'
loop_
_atom_site_label
_atom_site_fract_x
_atom_site_fract_y
_atom_site_fract_z
Ce1 0.000 0.000 0.000
Ce2 0.000 0.157 0.500
Ce3 0.000 0.358 0.251
Ga1 0.000 0.500 0.500
Bi1 0.000 0.000 0.260
Bi2 0.000 0.500 0.000
```

## Properties
- energy of formation from the pure elements (eV per formula unit) = -4.205
- total magnetic moment (Bohr magnetons per cell) = 12.45
- crystal system = orthorhombic

=====

# 8
## Ce2GaBi (PBE)

Data for crystalline Ce2GaBi at its relaxed geometry.

```
data_Ce2GaBi
_chemical_formula_sum 'Ce6 Ga3 Bi3'
_cell_length_a 4.4374
_cell_length_b 4.4374
_cell_length_c 21.5031
_cell_angle_alpha 90.00
_cell_angle_beta 90.00
_cell_angle_gamma 120.00
_space_group_name_H-M_alt 'R -3 m'
_space_group_IT_number 166
_space_group_name_Hall '-R 3 2"'
loop_
_atom_site_label
_atom_site_fract_x
_atom_site_fract_y
_atom_site_fract_z
Ce1 0.0000 0.0000 0.2428
Ga1 0.0000 0.0000 0.5000
Bi1 0.0000 0.0000 0.0000
```

## Properties
- energy of formation from the pure elements (eV per formula unit) = -1.801
- total magnetic moment (Bohr magnetons per cell) = 1.38
- ΔE to the lowest computed polymorph (meV per atom) = 106.8
- crystal system = trigonal

=====

# 9
## Ce3Ga12Bi5 (PBE)

Data for crystalline Ce3Ga12Bi5 at its relaxed geometry.

```
data_Ce3Ga12Bi5
_chemical_formula_sum 'Ce24 Ga96 Bi40'
_cell_length_a 17.087
_cell_length_b 17.087
_cell_length_c 17.087
_cell_angle_alpha 90.00
_cell_angle_beta 90.00
_cell_angle_gamma 90.00
_space_group_name_H-M_alt 'I a -3 d'
_space_group_IT_number 230
_space_group_name_Hall '-I 4bd 2c 3'
loop_
_atom_site_label
_atom_site_fract_x
_atom_site_fract_y
_atom_site_fract_z
Ce1 0.000 0.250 0.125
Ga1 0.042 0.088 0.644
Bi1 0.000 0.000 0.000
Bi2 0.000 0.250 0.375
```

## Properties
- energy of formation from the pure elements (eV per formula unit) = 3.200
- total magnetic moment (Bohr magnetons per cell) = 22.16
- crystal system = cubic

=====

# 10
## LiCeGaBi (PBE)

Data for crystalline LiCeGaBi at its relaxed geometry.

```
data_LiCeGaBi
_chemical_formula_sum 'Li4 Ce4 Ga4 Bi4'
_cell_length_a 7.331
_cell_length_b 7.331
_cell_length_c 7.331
_cell_angle_alpha 90.00
_cell_angle_beta 90.00
_cell_angle_gamma 90.00
_space_group_name_H-M_alt 'F -4 3 m'
_space_group_IT_number 216
_space_group_name_Hall 'F -4 2 3'
loop_
_atom_site_label
_atom_site_fract_x
_atom_site_fract_y
_atom_site_fract_z
Li1 0.000 0.000 0.000
Ce1 0.000 0.000 0.500
Ga1 0.250 0.250 0.250
Bi1 0.250 0.250 0.750
```

## Properties
- energy of formation from the pure elements (eV per formula unit) = -1.550
- total magnetic moment (Bohr magnetons per cell) = 2.27
- crystal system = cubic

=====

# 11
## CeMgGaBi (PBE)

Data for crystalline CeMgGaBi at its relaxed geometry.

```
data_CeMgGaBi
_chemical_formula_sum 'Ce4 Mg4 Ga4 Bi4'
_cell_length_a 7.429
_cell_length_b 7.429
_cell_length_c 7.429
_cell_angle_alpha 90.00
_cell_angle_beta 90.00
_cell_angle_gamma 90.00
_space_group_name_H-M_alt 'F -4 3 m'
_space_group_IT_number 216
_space_group_name_Hall 'F -4 2 3'
loop_
_atom_site_label
_atom_site_fract_x
_atom_site_fract_y
_atom_site_fract_z
Ce1 0.000 0.000 0.000
Mg1 0.000 0.000 0.500
Ga1 0.250 0.250 0.750
Bi1 0.250 0.250 0.250
```

## Properties
- energy of formation from the pure elements (eV per formula unit) = -1.161
- total magnetic moment (Bohr magnetons per cell) = 4.37
- crystal system = cubic

=====

# 12
## NaCeGaBi (PBE)

Data for crystalline NaCeGaBi at its relaxed geometry.

```
data_NaCeGaBi
_chemical_formula_sum 'Na4 Ce4 Ga4 Bi4'
_cell_length_a 7.546
_cell_length_b 7.546
_cell_length_c 7.546
_cell_angle_alpha 90.00
_cell_angle_beta 90.00
_cell_angle_gamma 90.00
_space_group_name_H-M_alt 'F -4 3 m'
_space_group_IT_number 216
_space_group_name_Hall 'F -4 2 3'
loop_
_atom_site_label
_atom_site_fract_x
_atom_site_fract_y
_atom_site_fract_z
Na1 0.000 0.000 0.000
Ce1 0.000 0.000 0.500
Ga1 0.250 0.250 0.750
Bi1 0.250 0.250 0.250
```

## Properties
- energy of formation from the pure elements (eV per formula unit) = -1.215
- total magnetic moment (Bohr magnetons per cell) = 3.09
- crystal system = cubic